(1)
VASP calculation (meta-GGA SCAN) on a crystal of ScCdAu relaxed with PBEsol.

Lattice parameters (Å, degrees): 5.125 5.125 5.125 139.32 139.08 59.07
Sites, in units of the cell vectors:
Sc  0.000  0.000  0.000
Cd  0.324  0.324  0.000
Au  0.660  0.660  0.000

Output
Crystal system: orthorhombic
Space-group type: Imm2, No. 44
Energy of formation (eV per atom): -0.6512
Size of the total moment (μB per cell): 0.000
DOS(E_F) (states/eV per cell): 1.32
Raw total energy (eV per atom): -38.59

***

(2)
VASP calculation (meta-GGA SCAN) on a crystal of Sc2CdAu relaxed with PBEsol.

Lattice parameters (Å, degrees): 3.409 4.788 4.840 90.00 90.00 90.00
Sites, in units of the cell vectors:
Sc  0.000  0.000  0.000
Sc  0.000  0.500  0.470
Cd  0.500  0.000  0.513
Au  0.500  0.500  0.955

Output
Crystal system: orthorhombic
Space-group type: Pmm2, No. 25
Energy of formation (eV per atom): -0.7435
Size of the total moment (μB per cell): 0.000
DOS(E_F) (states/eV per cell): 1.89
Raw total energy (eV per atom): -32.75

***

(3)
VASP calculation (meta-GGA SCAN) on a crystal of Sc2CdAu relaxed with PBEsol.

Lattice parameters (Å, degrees): 3.550 3.550 6.378 90.00 90.00 90.00
Sites, in units of the cell vectors:
Sc  0.000  0.000  0.000
Sc  0.500  0.500  0.299
Cd  0.500  0.500  0.762
Au  0.000  0.000  0.508

Output
Crystal system: tetragonal
Space-group type: P4mm, No. 99
Energy of formation (eV per atom): -0.5718
Size of the total moment (μB per cell): 1.449
DOS(E_F) (states/eV per cell): 1.24
Raw total energy (eV per atom): -32.58

***

(4)
VASP calculation (meta-GGA SCAN) on a crystal of Sc2CdAu relaxed with PBEsol.

Lattice parameters (Å, degrees): 5.819 5.819 5.819 146.29 131.63 60.25
Sites, in units of the cell vectors:
Sc  0.000  0.000  0.000
Sc  0.720  0.220  0.500
Cd  0.450  0.450  0.000
Au  0.222  0.722  0.500

Output
Crystal system: orthorhombic
Space-group type: Imm2, No. 44
Energy of formation (eV per atom): -0.5895
Size of the total moment (μB per cell): 0.005
DOS(E_F) (states/eV per cell): 3.49
Raw total energy (eV per atom): -32.60

***

(5)
VASP calculation (meta-GGA SCAN) on a crystal of ScCd2Au relaxed with PBEsol.

Lattice parameters (Å, degrees): 3.192 4.182 6.212 90.00 104.98 90.00
Sites, in units of the cell vectors:
Sc  0.000  0.000  0.000
Cd  0.348  0.500  0.696
Cd  0.739  0.000  0.479
Au  0.587  0.500  0.173

Output
Crystal system: monoclinic
Space-group type: Pm, No. 6
Energy of formation (eV per atom): -0.4773
Size of the total moment (μB per cell): 0.000
DOS(E_F) (states/eV per cell): 2.03
Raw total energy (eV per atom): -36.53

***

(6)
VASP calculation (meta-GGA SCAN) on a crystal of Sc2CdAu relaxed with PBEsol.

Lattice parameters (Å, degrees): 3.403 3.403 6.864 90.00 90.00 90.00
Sites, in units of the cell vectors:
Sc  0.000  0.000  0.236
Sc  0.000  0.000  0.764
Cd  0.500  0.500  0.500
Au  0.500  0.500  0.000

Output
Crystal system: tetragonal
Space-group type: P4/mmm, No. 123
Energy of formation (eV per atom): -0.7627
Size of the total moment (μB per cell): 0.000
DOS(E_F) (states/eV per cell): 2.33
Raw total energy (eV per atom): -32.77

***

(7)
VASP calculation (meta-GGA SCAN) on a crystal of Sc2CdAu relaxed with PBEsol.

Lattice parameters (Å, degrees): 4.751 4.751 4.751 60.00 60.00 60.00
Sites, in units of the cell vectors:
Sc  0.000  0.000  0.000
Sc  0.250  0.250  0.250
Cd  0.750  0.750  0.750
Au  0.500  0.500  0.500

Output
Crystal system: cubic
Space-group type: F-43m, No. 216
Energy of formation (eV per atom): -0.4678
Size of the total moment (μB per cell): 1.002
DOS(E_F) (states/eV per cell): 4.81
Raw total energy (eV per atom): -32.48

***

(8)
VASP calculation (meta-GGA SCAN) on a crystal of ScCd2Au relaxed with PBEsol.

Lattice parameters (Å, degrees): 4.764 4.764 4.764 120.58 120.58 88.99
Sites, in units of the cell vectors:
Sc  0.000  0.000  0.000
Cd  0.250  0.750  0.500
Cd  0.500  0.500  0.000
Au  0.750  0.250  0.500

Output
Crystal system: tetragonal
Space-group type: I-4m2, No. 119
Energy of formation (eV per atom): -0.5256
Size of the total moment (μB per cell): 0.000
DOS(E_F) (states/eV per cell): 1.83
Raw total energy (eV per atom): -36.58

***

(9)
VASP calculation (meta-GGA SCAN) on a crystal of ScCd2Au relaxed with PBEsol.

Lattice parameters (Å, degrees): 3.420 3.420 6.685 90.00 90.00 90.00
Sites, in units of the cell vectors:
Sc  0.000  0.000  0.000
Cd  0.000  0.000  0.467
Cd  0.500  0.500  0.726
Au  0.500  0.500  0.210

Output
Crystal system: tetragonal
Space-group type: P4mm, No. 99
Energy of formation (eV per atom): -0.4996
Size of the total moment (μB per cell): 0.000
DOS(E_F) (states/eV per cell): 1.33
Raw total energy (eV per atom): -36.56

***

(10)
VASP calculation (meta-GGA SCAN) on a crystal of ScCd2Au relaxed with PBEsol.

Lattice parameters (Å, degrees): 3.149 4.830 5.285 90.00 98.14 90.00
Sites, in units of the cell vectors:
Sc  0.000  0.000  0.000
Cd  0.354  0.500  0.742
Cd  0.646  0.500  0.258
Au  0.500  0.000  0.500

Output
Crystal system: monoclinic
Space-group type: P2/m, No. 10
Energy of formation (eV per atom): -0.3846
Size of the total moment (μB per cell): 0.000
DOS(E_F) (states/eV per cell): 1.71
Raw total energy (eV per atom): -36.44

***

(11)
VASP calculation (meta-GGA SCAN) on a crystal of ScCd2AuSe relaxed with PBEsol.

Lattice parameters (Å, degrees): 5.071 5.071 5.139 90.00 90.00 90.00
Sites, in units of the cell vectors:
Sc  0.000  0.000  0.000
Cd  0.000  0.500  0.500
Cd  0.500  0.000  0.500
Au  0.000  0.000  0.500
Se  0.500  0.500  0.000

Output
Crystal system: tetragonal
Raw formation energy (eV per formula unit): -0.85
Space-group type: P4/mmm, No. 123
Size of the total moment (μB per cell): 0.000
DOS(E_F) (states/eV per cell): 2.23
Raw total energy (eV per atom): -33.03

***

(12)
VASP calculation (meta-GGA SCAN) on a crystal of Sc2ZnCdAu relaxed with PBEsol.

Lattice parameters (Å, degrees): 4.959 4.959 4.624 90.00 90.00 90.00
Sites, in units of the cell vectors:
Sc  0.000  0.500  0.000
Sc  0.500  0.000  0.000
Zn  0.000  0.000  0.000
Cd  0.500  0.500  0.500
Au  0.000  0.000  0.500

Output
Crystal system: tetragonal
Space-group type: P4/mmm, No. 123
Energy of formation (eV per atom): 0.0283
Size of the total moment (μB per cell): 0.000
DOS(E_F) (states/eV per cell): 3.70
Raw total energy (eV per atom): -28.28